No. 1
Below is a relaxed structure of TaSbP2, with properties calculated at the GGA-PBE level.

a = 3.3673 Å, b = 4.6297 Å, c = 8.7337 Å
α = 90.00°, β = 90.00°, γ = 90.00°
Last column: nearest neighbours and their distance in Å.
Fractional positions:
Ta (0.0000, 0.0000, 0.0000)  6 P 2.80-2.88, 4 Sb 2.95-3.04
Ta (0.5000, 0.5000, 0.5000)  6 P 2.80-2.88, 4 Sb 2.95-3.04
Sb (0.0000, 0.5000, 0.7905)  6 P 2.71-2.89, 2 Ta 2.95
Sb (0.5000, 0.0000, 0.2905)  6 P 2.71-2.89, 2 Ta 2.95
P (0.0000, 0.0000, 0.5342)  2 P 2.48, 2 Sb 2.71
P (0.0000, 0.5000, 0.2433)  2 P 2.48
P (0.5000, 0.0000, 0.7433)  2 P 2.48
P (0.5000, 0.5000, 0.0342)  2 P 2.48, 2 Sb 2.71

Computed properties:
Energy relative to the elements, uncorrected   241 meV/atom
Mass density   8.89 g cm⁻³

---

No. 2
Below is a relaxed structure of Ac12Te5S3, with properties calculated at the GGA-PBE level.

a = 16.5145 Å, b = 16.5145 Å, c = 16.5145 Å
α = 109.47°, β = 109.47°, γ = 109.47°
Last column: nearest neighbours and their distance in Å.
Fractional positions:
Ac (0.0530, 0.6194, 0.3842)  1 S 3.09, 2 Te 3.28-3.29
Ac (0.0530, 0.9336, 0.6689)  1 S 3.09, 2 Te 3.28-3.29
Ac (0.0664, 0.2353, 0.1194)  1 S 3.09, 2 Te 3.28-3.29
Ac (0.0664, 0.3311, 0.9470)  1 S 3.09, 2 Te 3.28-3.29
Ac (0.1158, 0.7353, 0.6689)  1 S 3.09, 2 Te 3.28-3.29
Ac (0.1158, 0.8806, 0.4470)  1 S 3.09, 2 Te 3.28-3.29
Ac (0.1194, 0.0664, 0.2353)  1 S 3.09, 2 Te 3.28-3.29
Ac (0.1194, 0.5530, 0.8842)  1 S 3.09, 2 Te 3.28-3.29
Ac (0.1689, 0.2353, 0.6158)  1 S 3.09, 2 Te 3.28-3.29
Ac (0.1689, 0.4336, 0.5530)  1 S 3.09, 2 Te 3.28-3.29
Ac (0.2353, 0.1194, 0.0664)  1 S 3.09, 2 Te 3.28-3.29
Ac (0.2353, 0.6158, 0.1689)  1 S 3.09, 2 Te 3.28-3.29
Ac (0.2647, 0.3311, 0.8842)  1 S 3.09, 2 Te 3.28-3.29
Ac (0.2647, 0.4336, 0.3806)  1 S 3.09, 2 Te 3.28-3.29
Ac (0.3311, 0.8842, 0.2647)  1 S 3.09, 2 Te 3.28-3.29
Ac (0.3311, 0.9470, 0.0664)  1 S 3.09, 2 Te 3.28-3.29
Ac (0.3806, 0.2647, 0.4336)  1 S 3.09, 2 Te 3.28-3.29
Ac (0.3806, 0.6158, 0.9470)  1 S 3.09, 2 Te 3.28-3.29
Ac (0.3842, 0.0530, 0.6194)  1 S 3.09, 2 Te 3.28-3.29
Ac (0.3842, 0.8311, 0.7647)  1 S 3.09, 2 Te 3.28-3.29
Ac (0.4336, 0.3806, 0.2647)  1 S 3.09, 2 Te 3.28-3.29
Ac (0.4336, 0.5530, 0.1689)  1 S 3.09, 2 Te 3.28-3.29
Ac (0.4470, 0.1158, 0.8806)  1 S 3.09, 2 Te 3.28-3.29
Ac (0.4470, 0.8311, 0.5664)  1 S 3.09, 2 Te 3.28-3.29
Ac (0.5530, 0.1689, 0.4336)  1 S 3.09, 2 Te 3.28-3.29
Ac (0.5530, 0.8842, 0.1194)  1 S 3.09, 2 Te 3.28-3.29
Ac (0.5664, 0.4470, 0.8311)  1 S 3.09, 2 Te 3.28-3.29
Ac (0.5664, 0.6194, 0.7353)  1 S 3.09, 2 Te 3.28-3.29
Ac (0.6158, 0.1689, 0.2353)  1 S 3.09, 2 Te 3.28-3.29
Ac (0.6158, 0.9470, 0.3806)  1 S 3.09, 2 Te 3.28-3.29
Ac (0.6194, 0.3842, 0.0530)  1 S 3.09, 2 Te 3.28-3.29
Ac (0.6194, 0.7353, 0.5664)  1 S 3.09, 2 Te 3.28-3.29
Ac (0.6689, 0.0530, 0.9336)  1 S 3.09, 2 Te 3.28-3.29
Ac (0.6689, 0.1158, 0.7353)  1 S 3.09, 2 Te 3.28-3.29
Ac (0.7353, 0.5664, 0.6194)  1 S 3.09, 2 Te 3.28-3.29
Ac (0.7353, 0.6689, 0.1158)  1 S 3.09, 2 Te 3.28-3.29
Ac (0.7647, 0.3842, 0.8311)  1 S 3.09, 2 Te 3.28-3.29
Ac (0.7647, 0.8806, 0.9336)  1 S 3.09, 2 Te 3.28-3.29
Ac (0.8311, 0.5664, 0.4470)  1 S 3.09, 2 Te 3.28-3.29
Ac (0.8311, 0.7647, 0.3842)  1 S 3.09, 2 Te 3.28-3.29
Ac (0.8806, 0.4470, 0.1158)  1 S 3.09, 2 Te 3.28-3.29
Ac (0.8806, 0.9336, 0.7647)  1 S 3.09, 2 Te 3.28-3.29
Ac (0.8842, 0.1194, 0.5530)  1 S 3.09, 2 Te 3.28-3.29
Ac (0.8842, 0.2647, 0.3311)  1 S 3.09, 2 Te 3.28-3.29
Ac (0.9336, 0.6689, 0.0530)  1 S 3.09, 2 Te 3.28-3.29
Ac (0.9336, 0.7647, 0.8806)  1 S 3.09, 2 Te 3.28-3.29
Ac (0.9470, 0.0664, 0.3311)  1 S 3.09, 2 Te 3.28-3.29
Ac (0.9470, 0.3806, 0.6158)  1 S 3.09, 2 Te 3.28-3.29
Te (0.0000, 0.0000, 0.0000)  6 Ac 3.29
Te (0.0000, 0.0000, 0.5000)  6 Ac 3.29
Te (0.0000, 0.5000, 0.0000)  6 Ac 3.29
Te (0.0000, 0.5000, 0.5000)  6 Ac 3.29
Te (0.1250, 0.7500, 0.8750)  4 Ac 3.28
Te (0.1250, 0.8750, 0.2500)  4 Ac 3.28
Te (0.2500, 0.1250, 0.8750)  4 Ac 3.28
Te (0.2500, 0.6250, 0.3750)  4 Ac 3.28
Te (0.3750, 0.2500, 0.6250)  4 Ac 3.28
Te (0.3750, 0.6250, 0.7500)  4 Ac 3.28
Te (0.5000, 0.0000, 0.0000)  6 Ac 3.29
Te (0.5000, 0.0000, 0.5000)  6 Ac 3.29
Te (0.5000, 0.5000, 0.0000)  6 Ac 3.29
Te (0.5000, 0.5000, 0.5000)  6 Ac 3.29
Te (0.6250, 0.3750, 0.2500)  4 Ac 3.28
Te (0.6250, 0.7500, 0.3750)  4 Ac 3.28
Te (0.7500, 0.3750, 0.6250)  4 Ac 3.28
Te (0.7500, 0.8750, 0.1250)  4 Ac 3.28
Te (0.8750, 0.1250, 0.7500)  4 Ac 3.28
Te (0.8750, 0.2500, 0.1250)  4 Ac 3.28
S (0.1250, 0.2500, 0.3750)  4 Ac 3.09
S (0.1250, 0.3750, 0.7500)  4 Ac 3.09
S (0.2500, 0.3750, 0.1250)  4 Ac 3.09
S (0.2500, 0.8750, 0.6250)  4 Ac 3.09
S (0.3750, 0.1250, 0.2500)  4 Ac 3.09
S (0.3750, 0.7500, 0.1250)  4 Ac 3.09
S (0.6250, 0.2500, 0.8750)  4 Ac 3.09
S (0.6250, 0.8750, 0.7500)  4 Ac 3.09
S (0.7500, 0.1250, 0.3750)  4 Ac 3.09
S (0.7500, 0.6250, 0.8750)  4 Ac 3.09
S (0.8750, 0.6250, 0.2500)  4 Ac 3.09
S (0.8750, 0.7500, 0.6250)  4 Ac 3.09

Computed properties:
Energy relative to the elements, uncorrected   -679 meV/atom
Mass density   6.62 g cm⁻³

---

No. 3
Below is a relaxed structure of PH2Ru, with properties calculated at the GGA-PBE level.

a = 3.0823 Å, b = 3.0823 Å, c = 7.6499 Å
α = 90.00°, β = 90.00°, γ = 90.00°
Last column: nearest neighbours and their distance in Å.
Fractional positions:
P (0.0000, 0.0000, 0.0000)  4 H 2.30, 5 Ru 2.52-2.54
P (0.5000, 0.5000, 0.5000)  4 H 2.30, 5 Ru 2.52-2.54
H (0.0000, 0.5000, 0.2770)  2 Ru 1.74
H (0.0000, 0.5000, 0.7770)  2 Ru 1.74
H (0.5000, 0.0000, 0.2770)  2 Ru 1.74
H (0.5000, 0.0000, 0.7770)  2 Ru 1.74
Ru (0.0000, 0.0000, 0.6706)  4 H 1.74
Ru (0.5000, 0.5000, 0.1706)  4 H 1.74

Computed properties:
Mass density   6.13 g cm⁻³
E_tot   -5.32 eV per atom

---

No. 4
Below is a relaxed structure of HgTe2Au, with properties calculated at the GGA-PBE level.

a = 7.1008 Å, b = 4.5668 Å, c = 17.1028 Å
α = 90.00°, β = 90.00°, γ = 90.00°
Last column: nearest neighbours and their distance in Å.
Fractional positions:
Hg (0.1221, 0.2500, 0.1608)  3 Te 2.81
Hg (0.3779, 0.7500, 0.6608)  3 Te 2.81
Hg (0.6221, 0.2500, 0.3392)  3 Te 2.81
Hg (0.8779, 0.7500, 0.8392)  3 Te 2.81
Te (0.0874, 0.7500, 0.2556)  2 Hg 2.81
Te (0.1913, 0.2500, 0.9993)  3 Au 2.69-2.96, 1 Hg 2.81
Te (0.3087, 0.7500, 0.4993)  3 Au 2.69-2.96, 1 Hg 2.81
Te (0.4126, 0.2500, 0.7556)  2 Hg 2.81
Te (0.5874, 0.7500, 0.2444)  2 Hg 2.81
Te (0.6913, 0.2500, 0.5007)  3 Au 2.69-2.96, 1 Hg 2.81
Te (0.8087, 0.7500, 0.0007)  3 Au 2.69-2.96, 1 Hg 2.81
Te (0.9126, 0.2500, 0.7444)  2 Hg 2.81
Au (0.1086, 0.2500, 0.4997)  3 Te 2.69-2.96, 2 Au 2.76
Au (0.3914, 0.7500, 0.9997)  3 Te 2.69-2.96, 2 Au 2.76
Au (0.6086, 0.2500, 0.0003)  3 Te 2.69-2.96, 2 Au 2.76
Au (0.8914, 0.7500, 0.5003)  3 Te 2.69-2.96, 2 Au 2.76

Computed properties:
Energy relative to the elements, uncorrected   -18 meV/atom
Mass density   7.82 g cm⁻³

---

No. 5
Below is a relaxed structure of CsLa2As2, with properties calculated at the GGA-PBE level.

a = 8.7817 Å, b = 8.7817 Å, c = 3.8287 Å
α = 90.00°, β = 90.00°, γ = 90.00°
Last column: nearest neighbours and their distance in Å.
Fractional positions:
Cs (0.0000, 0.0000, 0.0000)  4 La 3.42, 8 As 3.82, 2 Cs 3.83
Cs (0.5000, 0.5000, 0.0000)  4 La 3.42, 8 As 3.82, 2 Cs 3.83
La (0.1336, 0.3664, 0.0000)  6 As 3.20-3.22, 1 La 3.32, 2 Cs 3.42
La (0.3664, 0.8664, 0.0000)  6 As 3.20-3.22, 1 La 3.32, 2 Cs 3.42
La (0.6336, 0.1336, 0.0000)  6 As 3.20-3.22, 1 La 3.32, 2 Cs 3.42
La (0.8664, 0.6336, 0.0000)  6 As 3.20-3.22, 1 La 3.32, 2 Cs 3.42
As (0.1599, 0.6599, 0.5000)  6 La 3.20-3.22
As (0.3401, 0.1599, 0.5000)  6 La 3.20-3.22
As (0.6599, 0.8401, 0.5000)  6 La 3.20-3.22
As (0.8401, 0.3401, 0.5000)  6 La 3.20-3.22

Computed properties:
Mass density   6.31 g cm⁻³
E_tot   -4.85 eV per atom

---

No. 6
Below is a relaxed structure of HoScFeCu, with properties calculated at the GGA-PBE level.

a = 6.5581 Å, b = 6.5581 Å, c = 6.5581 Å
α = 90.00°, β = 90.00°, γ = 90.00°
Last column: nearest neighbours and their distance in Å.
Fractional positions:
Ho (0.0000, 0.0000, 0.0000)  4 Cu 2.84, 4 Fe 2.84
Ho (0.0000, 0.5000, 0.5000)  4 Cu 2.84, 4 Fe 2.84
Ho (0.5000, 0.0000, 0.5000)  4 Cu 2.84, 4 Fe 2.84
Ho (0.5000, 0.5000, 0.0000)  4 Cu 2.84, 4 Fe 2.84
Sc (0.0000, 0.0000, 0.5000)  4 Fe 2.84, 4 Cu 2.84
Sc (0.0000, 0.5000, 0.0000)  4 Fe 2.84, 4 Cu 2.84
Sc (0.5000, 0.0000, 0.0000)  4 Fe 2.84, 4 Cu 2.84
Sc (0.5000, 0.5000, 0.5000)  4 Fe 2.84, 4 Cu 2.84
Fe (0.2500, 0.2500, 0.7500)  4 Ho 2.84, 4 Sc 2.84
Fe (0.2500, 0.7500, 0.2500)  4 Ho 2.84, 4 Sc 2.84
Fe (0.7500, 0.2500, 0.2500)  4 Ho 2.84, 4 Sc 2.84
Fe (0.7500, 0.7500, 0.7500)  4 Ho 2.84, 4 Sc 2.84
Cu (0.2500, 0.2500, 0.2500)  4 Sc 2.84, 4 Ho 2.84
Cu (0.2500, 0.7500, 0.7500)  4 Sc 2.84, 4 Ho 2.84
Cu (0.7500, 0.2500, 0.7500)  4 Sc 2.84, 4 Ho 2.84
Cu (0.7500, 0.7500, 0.2500)  4 Sc 2.84, 4 Ho 2.84

Computed properties:
Mass density   7.75 g cm⁻³
E_tot   -5.95 eV per atom

---

No. 7
Below is a relaxed structure of Hf2HgSe, with properties calculated at the GGA-PBE level.

a = 4.3943 Å, b = 4.3943 Å, c = 19.4597 Å
α = 90.00°, β = 90.00°, γ = 90.00°
Last column: nearest neighbours and their distance in Å.
Fractional positions:
Hf (0.2399, 0.2500, 0.1250)  2 Se 2.87, 2 Hg 2.90, 4 Hf 3.05-3.17
Hf (0.2500, 0.7399, 0.3750)  2 Se 2.87, 2 Hg 2.90, 4 Hf 3.05-3.17
Hf (0.2500, 0.7601, 0.8750)  2 Se 2.87, 2 Hg 2.90, 4 Hf 3.05-3.17
Hf (0.2601, 0.2500, 0.6250)  2 Se 2.87, 2 Hg 2.90, 4 Hf 3.05-3.17
Hf (0.7399, 0.7500, 0.6250)  2 Se 2.87, 2 Hg 2.90, 4 Hf 3.05-3.17
Hf (0.7500, 0.2399, 0.8750)  2 Se 2.87, 2 Hg 2.90, 4 Hf 3.05-3.17
Hf (0.7500, 0.2601, 0.3750)  2 Se 2.87, 2 Hg 2.90, 4 Hf 3.05-3.17
Hf (0.7601, 0.7500, 0.1250)  2 Se 2.87, 2 Hg 2.90, 4 Hf 3.05-3.17
Hg (0.0000, 0.0000, 0.5000)  4 Hf 2.90, 4 Se 3.11
Hg (0.0000, 0.5000, 0.7500)  4 Hf 2.90, 4 Se 3.11
Hg (0.5000, 0.0000, 0.2500)  4 Hf 2.90, 4 Se 3.11
Hg (0.5000, 0.5000, 0.0000)  4 Hf 2.90, 4 Se 3.11
Se (0.0000, 0.0000, 0.0000)  4 Hf 2.87, 4 Hg 3.11
Se (0.0000, 0.5000, 0.2500)  4 Hf 2.87, 4 Hg 3.11
Se (0.5000, 0.0000, 0.7500)  4 Hf 2.87, 4 Hg 3.11
Se (0.5000, 0.5000, 0.5000)  4 Hf 2.87, 4 Hg 3.11

Computed properties:
Energy relative to the elements, uncorrected   119 meV/atom
Mass density   11.25 g cm⁻³

---

No. 8
Below is a relaxed structure of Pu3Ge5Rh6, with properties calculated at the GGA-PBE level.

a = 4.0877 Å, b = 12.6362 Å, c = 9.8162 Å
α = 90.00°, β = 90.00°, γ = 90.00°
Last column: nearest neighbours and their distance in Å.
Fractional positions:
Pu (0.2500, 0.0894, 0.2461)  7 Rh 3.01-3.34, 6 Ge 3.11-3.12
Pu (0.2500, 0.4106, 0.2461)  7 Rh 3.01-3.34, 6 Ge 3.11-3.12
Pu (0.2500, 0.7500, 0.2478)  6 Ge 2.97-3.14, 4 Rh 3.09-3.23
Pu (0.7500, 0.2500, 0.7522)  6 Ge 2.97-3.14, 4 Rh 3.09-3.23
Pu (0.7500, 0.5894, 0.7539)  7 Rh 3.01-3.34, 6 Ge 3.11-3.12
Pu (0.7500, 0.9106, 0.7539)  7 Rh 3.01-3.34, 6 Ge 3.11-3.12
Ge (0.2500, 0.0786, 0.6502)  5 Rh 2.49-2.53
Ge (0.2500, 0.4214, 0.6502)  5 Rh 2.49-2.53
Ge (0.2500, 0.6305, 0.9872)  5 Rh 2.43-2.54
Ge (0.2500, 0.7500, 0.6304)  4 Rh 2.50-2.51
Ge (0.2500, 0.8695, 0.9872)  5 Rh 2.43-2.54
Ge (0.7500, 0.1305, 0.0128)  5 Rh 2.43-2.54
Ge (0.7500, 0.2500, 0.3696)  4 Rh 2.50-2.51
Ge (0.7500, 0.3695, 0.0128)  5 Rh 2.43-2.54
Ge (0.7500, 0.5786, 0.3498)  5 Rh 2.49-2.53
Ge (0.7500, 0.9214, 0.3498)  5 Rh 2.49-2.53
Rh (0.2500, 0.0500, 0.9009)  4 Ge 2.43-2.53
Rh (0.2500, 0.2500, 0.0197)  4 Ge 2.54, 2 Rh 2.78
Rh (0.2500, 0.2500, 0.5162)  4 Ge 2.50-2.53
Rh (0.2500, 0.4500, 0.9009)  4 Ge 2.43-2.53
Rh (0.2500, 0.5815, 0.4947)  4 Ge 2.49-2.53
Rh (0.2500, 0.9185, 0.4947)  4 Ge 2.49-2.53
Rh (0.7500, 0.0815, 0.5053)  4 Ge 2.49-2.53
Rh (0.7500, 0.4185, 0.5053)  4 Ge 2.49-2.53
Rh (0.7500, 0.5500, 0.0991)  4 Ge 2.43-2.53
Rh (0.7500, 0.7500, 0.4838)  4 Ge 2.50-2.53
Rh (0.7500, 0.7500, 0.9803)  4 Ge 2.54, 2 Rh 2.78
Rh (0.7500, 0.9500, 0.0991)  4 Ge 2.43-2.53

Computed properties:
Mass density   11.22 g cm⁻³
E_tot   -8.54 eV per atom

---

No. 9
Below is a relaxed structure of CdIr2IF, with properties calculated at the GGA-PBE level.

a = 4.8547 Å, b = 4.8547 Å, c = 5.9130 Å
α = 90.00°, β = 90.00°, γ = 90.00°
Last column: nearest neighbours and their distance in Å.
Fractional positions:
Cd (0.0000, 0.0000, 0.0000)  2 I 2.96
Ir (0.0000, 0.5000, 0.5000)  2 I 2.43
Ir (0.5000, 0.0000, 0.5000)  2 I 2.43
I (0.0000, 0.0000, 0.5000)  4 Ir 2.43
F (0.5000, 0.5000, 0.0000)  4 Cd 3.43, 8 Ir 3.83

Computed properties:
Energy relative to the elements, uncorrected   1409 meV/atom
Mass density   7.66 g cm⁻³

---

No. 10
Below is a relaxed structure of KBa2Cl, with properties calculated at the GGA-PBE level.

a = 4.3834 Å, b = 4.2093 Å, c = 12.1321 Å
α = 90.00°, β = 90.06°, γ = 90.00°
Last column: nearest neighbours and their distance in Å.
Fractional positions:
K (0.0000, 0.0000, 0.0000)  4 K 4.21-4.38
Ba (0.4978, 0.5000, 0.6991)  2 Cl 3.20
Ba (0.5022, 0.5000, 0.3009)  2 Cl 3.20
Cl (0.5000, 0.0000, 0.5000)  4 Ba 3.20

Computed properties:
Energy relative to the elements, uncorrected   -745 meV/atom
Mass density   2.59 g cm⁻³